Record 1
A plane-wave DFT calculation with PBE was carried out for crystalline PdSe2Br6 at its relaxed geometry.

a = 4.964 Å, b = 7.360 Å, c = 9.685 Å
α = 103.83°, β = 93.21°, γ = 91.00°
Space group P-1 (No. 2)
Inequivalent atoms, fractional coordinates:
Pd: 0.000 0.000 0.000 [1 per cell]
Se: 0.292 0.203 0.187 [2 per cell]
Br: 0.049 0.485 0.206 [2 per cell]
Br: 0.212 0.141 0.411 [2 per cell]
Br: 0.325 0.135 0.864 [2 per cell]

* uncorrected formation energy: -205.5 meV/atom
* uncorrected energy: -2.67 eV per atom
* V: 342.9 Å³ per cell

---

Record 2
A plane-wave DFT calculation with PBE was carried out for crystalline K3Ga2P3O12 at its relaxed geometry.

a = 8.877 Å, b = 17.244 Å, c = 8.552 Å
α = 90.00°, β = 90.00°, γ = 90.00°
Space group Pna2_1 (No. 33)
Inequivalent atoms, fractional coordinates:
K: 0.009 0.099 0.000 [4 per cell]
K: 0.045 0.855 0.972 [4 per cell]
K: 0.173 0.491 0.280 [4 per cell]
Ga: 0.133 0.331 0.816 [4 per cell]
Ga: 0.153 0.660 0.804 [4 per cell]
P: 0.152 0.287 0.164 [4 per cell]
P: 0.201 0.686 0.173 [4 per cell]
P: 0.237 0.997 0.243 [4 per cell]
O: 0.030 0.290 0.297 [4 per cell]
O: 0.033 0.660 0.187 [4 per cell]
O: 0.065 0.296 0.006 [4 per cell]
O: 0.093 0.034 0.306 [4 per cell]
O: 0.124 0.556 0.768 [4 per cell]
O: 0.190 0.132 0.752 [4 per cell]
O: 0.210 0.200 0.163 [4 per cell]
O: 0.210 0.773 0.233 [4 per cell]
O: 0.219 0.427 0.853 [4 per cell]
O: 0.224 0.846 0.690 [4 per cell]
O: 0.232 0.973 0.072 [4 per cell]
O: 0.234 0.691 0.993 [4 per cell]

* uncorrected formation energy: -2214.6 meV/atom
* uncorrected energy: -6.47 eV per atom
* V: 1309.1 Å³ per cell

---

Record 3
A plane-wave DFT calculation with PBE was carried out for crystalline ScMoOs2 at its relaxed geometry.

a = 2.786 Å, b = 2.786 Å, c = 8.468 Å
α = 90.00°, β = 90.00°, γ = 90.00°
Space group P4mm (No. 99)
Inequivalent atoms, fractional coordinates:
Sc: 0.000 0.000 0.000 [1 per cell]
Mo: 0.500 0.500 0.282 [1 per cell]
Os: 0.000 0.000 0.537 [1 per cell]
Os: 0.500 0.500 0.739 [1 per cell]

* uncorrected energy: -9.84 eV per atom
* V: 65.7 Å³ per cell
* energy of formation: 0.3 eV/f.u.

---

Record 4
A plane-wave DFT calculation with PBE was carried out for crystalline La2SbHIr at its relaxed geometry.

a = 5.403 Å, b = 5.403 Å, c = 3.794 Å
α = 90.00°, β = 90.00°, γ = 90.00°
Space group P4/mmm (No. 123)
Inequivalent atoms, fractional coordinates:
La: 0.000 0.500 0.000 [2 per cell]
Sb: 0.000 0.000 0.500 [1 per cell]
H: 0.500 0.500 0.000 [1 per cell]
Ir: 0.500 0.500 0.500 [1 per cell]

* uncorrected energy: -5.90 eV per atom
* V: 110.8 Å³ per cell

---

Record 5
A plane-wave DFT calculation with PBE was carried out for crystalline BaLaIr at its relaxed geometry.

a = 7.305 Å, b = 7.305 Å, c = 7.305 Å
α = 90.00°, β = 90.00°, γ = 90.00°
Space group F-43m (No. 216)
Inequivalent atoms, fractional coordinates:
Ba: 0.000 0.000 0.000 [4 per cell]
La: 0.000 0.000 0.500 [4 per cell]
Ir: 0.250 0.250 0.250 [4 per cell]

* uncorrected energy: -5.50 eV per atom
* V: 389.9 Å³ per cell
* energy of formation: -0.8 eV/f.u.

---

Record 6
A plane-wave DFT calculation with PBE was carried out for crystalline PuNi9Sn2 at its relaxed geometry.

a = 8.209 Å, b = 8.209 Å, c = 4.893 Å
α = 90.00°, β = 90.00°, γ = 90.00°
Space group P4/mbm (No. 127)
Inequivalent atoms, fractional coordinates:
Pu: 0.000 0.000 0.000 [2 per cell]
Ni: 0.000 0.500 0.500 [2 per cell]
Ni: 0.066 0.204 0.500 [8 per cell]
Ni: 0.174 0.674 0.246 [8 per cell]
Sn: 0.128 0.372 0.000 [4 per cell]

* uncorrected energy: -6.37 eV per atom
* V: 329.7 Å³ per cell
* energy of formation: -2.1 eV/f.u.

---

Number 4 is which compound?
La2SbHIr

---

The highest V belongs to which entry?
K3Ga2P3O12

---

What is the V in the fourth record?
110.8 Å³ per cell